# RbH2AuO2 PBE optimized geometry
# * E: -0.30458 Ry per atom
data_RbH2AuO2
_chemical_formula_sum 'Rb2 H4 Au2 O4'
_space_group_name_H-M_alt 'P 1 21/m 1'
_space_group_IT_number 11
_space_group_name_Hall '-P 2yb'
_cell_length_a 5.4558
_cell_length_b 4.6636
_cell_length_c 8.4650
_cell_angle_alpha 90.00
_cell_angle_beta 105.59
_cell_angle_gamma 90.00
loop_
_atom_site_label
_atom_site_fract_x
_atom_site_fract_y
_atom_site_fract_z
Rb1 0.1812 0.2500 0.3014
H1 0.2813 0.2500 0.6391
H2 0.3058 0.7500 0.6758
Au1 0.4411 0.2500 0.9037
O1 0.3098 0.0036 0.6809

=====

# AlTe2Pb PBE optimized geometry
# * energy relative to the elements, uncorrected: 0.17 eV/atom
# * E: -0.23958 Ry per atom
data_AlTe2Pb
_chemical_formula_sum 'Al1 Te2 Pb1'
_space_group_name_H-M_alt 'P 1 2/m 1'
_space_group_IT_number 10
_space_group_name_Hall '-P 2y'
_cell_length_a 3.3824
_cell_length_b 5.4539
_cell_length_c 6.1922
_cell_angle_alpha 90.00
_cell_angle_beta 101.67
_cell_angle_gamma 90.00
loop_
_atom_site_label
_atom_site_fract_x
_atom_site_fract_y
_atom_site_fract_z
Al1 0.0000 0.0000 0.0000
Te1 0.2331 0.5000 0.7619
Pb1 0.5000 0.0000 0.5000

=====

# PmScZnPd PBE optimized geometry
# * E_form: -0.5248 eV/atom
# * E: -0.36103 Ry per atom
data_PmScZnPd
_chemical_formula_sum 'Pm4 Sc4 Zn4 Pd4'
_space_group_name_H-M_alt 'F -4 3 m'
_space_group_IT_number 216
_space_group_name_Hall 'F -4 2 3'
_cell_length_a 6.9902
_cell_length_b 6.9902
_cell_length_c 6.9902
_cell_angle_alpha 90.00
_cell_angle_beta 90.00
_cell_angle_gamma 90.00
loop_
_atom_site_label
_atom_site_fract_x
_atom_site_fract_y
_atom_site_fract_z
Pm1 0.0000 0.0000 0.0000
Sc1 0.0000 0.0000 0.5000
Zn1 0.2500 0.2500 0.7500
Pd1 0.2500 0.2500 0.2500

=====

# KAc2SiO5 PBE optimized geometry
# * energy relative to the elements, uncorrected: -2.55 eV/atom
# * E: -0.51056 Ry per atom
data_KAc2SiO5
_chemical_formula_sum 'K2 Ac4 Si2 O10'
_space_group_name_H-M_alt 'P 4/m b m'
_space_group_IT_number 127
_space_group_name_Hall '-P 4 2ab'
_cell_length_a 7.2807
_cell_length_b 7.2807
_cell_length_c 5.5857
_cell_angle_alpha 90.00
_cell_angle_beta 90.00
_cell_angle_gamma 90.00
loop_
_atom_site_label
_atom_site_fract_x
_atom_site_fract_y
_atom_site_fract_z
K1 0.0000 0.0000 0.0000
Ac1 0.1845 0.3155 0.5000
Si1 0.0000 0.5000 0.0000
O1 0.0000 0.0000 0.5000
O2 0.1187 0.6187 0.2258